Tb3Nd4In | the Alexandria database | PBE | optimized geometry; energy above the most stable polymorph in this dataset = 0.015 eV/atom; M_tot = 0.000 μB/f.u.; density = 7.59 g/cm3; SG = Pmn2_1; energy of formation = -0.65 eV/f.u.
1.0
10.1133 0.0000 0.0000
0.0000 7.0662 0.0000
0.0000 0.0000 7.1521
Tb Nd In
6 8 2
Direct
0.0000 0.0002 0.0000
0.2501 0.2588 0.2502
0.2499 0.7412 0.7502
0.5000 0.9998 0.5000
0.7499 0.2588 0.2502
0.7501 0.7412 0.7502
0.0000 0.0010 0.5004
0.0000 0.4996 0.9999
0.2495 0.7490 0.2502
0.2505 0.2510 0.7502
0.5000 0.5004 0.4999
0.5000 0.9990 0.0004
0.7495 0.2510 0.7502
0.7505 0.7490 0.2502
0.0000 0.5002 0.5002
0.5000 0.4998 0.0002

=====

Pr2NdZn5 | the Alexandria database | PBE | optimized geometry; M_tot = 0.000 μB/f.u.; density = 6.90 g/cm3; SG = I4/mmm; energy of formation = -2.22 eV/f.u.
1.0
-2.4792 2.4792 7.3739
2.4792 -2.4792 7.3739
2.4792 2.4792 -7.3739
Pr Nd Zn
2 1 5
Direct
0.2295 0.2295 0.0000
0.7705 0.7705 0.0000
0.5000 0.5000 0.0000
0.0000 0.0000 0.0000
0.1119 0.6119 0.5000
0.3881 0.8881 0.5000
0.6119 0.1119 0.5000
0.8881 0.3881 0.5000